Density functional theory data (PBE) for a relaxed structure of MgSnTe2.

```
MgSnTe2
1.0
2.141 1.236 7.652
-2.141 1.236 7.652
0.000 -2.473 7.652
Mg Sn Te
1 1 2
direct
0.000 0.000 0.000
0.831 0.831 0.831
0.251 0.251 0.251
0.409 0.409 0.409
```

Results
Magnetization: 0.0 μB per formula unit
E_tot: -13.7 eV for the cell shown
Space group: R3m, No. 160
D(E_F): 0.497 states/eV/cell